# VSnSe2F

A geometry-optimized VSnSe2F structure (PBE+U, Alexandria via LeMat-Bulk).

Lattice parameters (Å, degrees): 5.1306 5.8438 5.1306 90.00 90.00 90.00
Closest atoms and distances in Å follow each position.
Positions (direct):
F (0.5000, 0.5000, 0.5000)  4 V 3.63, 8 Se 3.89
Sn (0.0000, 0.0000, 0.0000)  4 Se 2.57
Se (0.0000, 0.0000, 0.5000)  2 Sn 2.57
Se (0.5000, 0.0000, 0.0000)  2 Sn 2.57
V (0.0000, 0.5000, 0.0000)  2 Sn 2.92

Results
* raw total energy: -3.6110 eV/atom
* spin magnetization: 3.6 μB/f.u.
* space-group type: P4/mmm (123)
* crystal system: tetragonal